PuW2N4 | Alexandria | PBE | relaxed; crystal system = orthorhombic; SG = No. 63
1.0
3.139 0.000 0.000
-1.569 5.061 0.000
0.000 0.000 10.189
N W Pu
8 4 2
direct
0.500 0.000 0.000 N
0.764 0.528 0.108 N
0.236 0.472 0.608 N
0.764 0.528 0.392 N
0.236 0.472 0.892 N
0.500 0.000 0.500 N
0.927 0.853 0.750 N
0.073 0.147 0.250 N
0.880 0.760 0.936 W
0.120 0.240 0.436 W
0.120 0.240 0.064 W
0.880 0.760 0.564 W
0.383 0.766 0.250 Pu
0.617 0.234 0.750 Pu

=====

Pu2ZnWN5 | Alexandria | PBE | relaxed; crystal system = orthorhombic; SG = No. 36
1.0
-0.899 0.757 2.955
5.000 -4.834 1.048
6.884 7.175 0.257
Pu N W Zn
4 10 2 2
direct
0.125 0.250 0.286 Pu
0.876 0.753 0.203 Pu
0.124 0.247 0.703 Pu
0.875 0.750 0.786 Pu
0.358 0.715 0.009 N
0.283 0.567 0.647 N
0.928 0.855 0.558 N
0.302 0.604 0.362 N
0.642 0.285 0.509 N
0.072 0.145 0.058 N
0.698 0.396 0.862 N
0.497 0.994 0.778 N
0.503 0.006 0.278 N
0.717 0.433 0.147 N
0.213 0.426 0.001 W
0.787 0.574 0.501 W
0.510 0.020 0.982 Zn
0.490 0.980 0.482 Zn

=====

Pu3Zr3WN8 | Alexandria | PBE | relaxed; crystal system = trigonal; SG = No. 166
1.0
6.531 0.000 0.000
-3.265 5.656 -0.020
0.000 -3.752 5.540
N Zr Pu W
8 3 3 1
direct
0.237 0.008 0.279 N
0.257 0.513 0.270 N
0.743 0.487 0.730 N
0.763 0.992 0.721 N
0.229 0.458 0.721 N
0.771 0.008 0.279 N
0.771 0.542 0.279 N
0.229 0.992 0.721 N
0.500 0.500 0.500 Zr
0.000 0.500 0.500 Zr
0.500 0.000 0.500 Zr
0.500 0.500 0.000 Pu
0.000 0.000 0.000 Pu
0.000 0.500 0.000 Pu
0.000 0.000 0.500 W

=====

Y3PuN4 | Alexandria | PBE | relaxed; crystal system = monoclinic; SG = No. 13; offset from the most stable computed form = 0 meV per atom
1.0
6.024 0.055 0.000
-2.060 5.644 0.000
0.000 0.000 6.945
N Y Pu
8 6 2
direct
0.498 0.760 0.120 N
0.502 0.240 0.880 N
0.995 0.248 0.629 N
0.495 0.248 0.371 N
0.002 0.240 0.120 N
0.005 0.752 0.371 N
0.998 0.760 0.880 N
0.505 0.752 0.629 N
0.750 0.500 0.623 Y
0.750 0.500 0.126 Y
0.250 0.500 0.874 Y
0.750 0.000 0.376 Y
0.250 0.500 0.377 Y
0.250 0.000 0.624 Y
0.250 0.000 0.126 Pu
0.750 0.000 0.874 Pu

=====

Y3Pu5N8 | Alexandria | PBE | relaxed; crystal system = trigonal; SG = No. 166
1.0
-3.489 -3.057 -5.182
3.396 -3.890 -4.658
-0.830 -6.882 -0.049
N Pu Y
8 5 3
direct
0.745 0.745 0.765 N
0.253 0.751 0.246 N
0.747 0.249 0.754 N
0.255 0.255 0.235 N
0.751 0.751 0.246 N
0.751 0.253 0.246 N
0.249 0.249 0.754 N
0.249 0.747 0.754 N
0.500 0.500 0.000 Pu
0.000 0.000 0.000 Pu
0.500 0.500 0.500 Pu
0.500 0.000 0.000 Pu
0.000 0.500 0.000 Pu
0.000 0.500 0.500 Y
0.000 0.000 0.500 Y
0.500 0.000 0.500 Y

=====

Y5Pu3N8 | Alexandria | PBE | relaxed; crystal system = trigonal; SG = No. 166
1.0
-5.238 -1.945 4.151
1.209 -1.381 6.715
-2.331 4.309 4.914
N Y Pu
8 5 3
direct
0.750 0.750 0.257 N
0.247 0.247 0.258 N
0.750 0.243 0.257 N
0.753 0.753 0.742 N
0.243 0.750 0.257 N
0.250 0.250 0.743 N
0.757 0.250 0.743 N
0.250 0.757 0.743 N
0.500 0.500 0.000 Y
0.000 0.500 0.000 Y
0.500 0.500 0.500 Y
0.500 0.000 0.000 Y
0.000 0.000 0.000 Y
0.500 0.000 0.500 Pu
0.000 0.000 0.500 Pu
0.000 0.500 0.500 Pu

=====

YPu3N4 | Alexandria | PBE | relaxed; crystal system = orthorhombic; SG = No. 65
1.0
3.485 0.000 0.000
0.000 6.034 -0.055
0.000 -1.955 5.709
Y N Pu
1 4 3
direct
0.500 0.000 0.000 Y
0.500 0.747 0.253 N
0.000 0.745 0.745 N
0.000 0.255 0.255 N
0.500 0.253 0.747 N
0.500 0.500 0.500 Pu
0.000 0.500 0.000 Pu
0.000 0.000 0.500 Pu

=====

Y2PuN3 | Alexandria | PBE | relaxed; crystal system = monoclinic; SG = No. 12
1.0
5.944 -0.019 -0.993
-3.204 5.007 -0.993
-0.014 -0.026 6.003
N Y Pu
6 4 2
direct
0.253 0.246 0.758 N
0.076 0.409 0.245 N
0.591 0.924 0.755 N
0.414 0.087 0.242 N
0.913 0.586 0.758 N
0.754 0.747 0.242 N
0.168 0.832 0.500 Y
0.833 0.167 0.500 Y
0.333 0.667 0.000 Y
0.499 0.501 0.500 Y
0.000 0.000 0.000 Pu
0.667 0.333 0.000 Pu

=====

YPuN | Alexandria | PBE | relaxed; crystal system = cubic; SG = No. 216; offset from the most stable computed form = 648 meV per atom
1.0
-0.842 4.141 0.663
-2.060 2.268 -2.985
-4.023 1.281 0.685
Pu N Y
1 1 1
direct
0.000 0.000 0.000 Pu
0.250 0.250 0.250 N
0.500 0.500 0.500 Y

=====

YPuN | Alexandria | PBE | relaxed; crystal system = orthorhombic; SG = No. 74; offset from the most stable computed form = 296 meV per atom
1.0
6.852 0.000 0.000
0.000 5.982 0.000
0.000 0.000 6.097
Pu N Y
4 4 4
direct
0.750 0.005 0.500 Pu
0.750 0.495 0.000 Pu
0.250 0.995 0.500 Pu
0.250 0.505 0.000 Pu
0.250 0.250 0.250 N
0.250 0.250 0.750 N
0.750 0.750 0.750 N
0.750 0.750 0.250 N
0.000 0.000 0.000 Y
0.500 0.000 0.000 Y
0.000 0.500 0.500 Y
0.500 0.500 0.500 Y

=====

YPuN | Alexandria | PBE | relaxed; crystal system = tetragonal; SG = No. 107; offset from the most stable computed form = 212 meV per atom
1.0
3.291 0.000 0.000
0.000 3.291 0.000
-1.646 -1.646 6.446
Pu N Y
1 1 1
direct
0.322 0.322 0.643 Pu
0.493 0.493 0.986 N
0.035 0.035 0.070 Y

=====

YPu3N | Alexandria | PBE | relaxed; crystal system = cubic; SG = No. 221
1.0
-2.484 3.175 -2.774
-2.788 -3.652 -1.684
-3.163 0.726 3.662
Pu N Y
3 1 1
direct
0.000 0.000 0.500 Pu
0.000 0.500 0.000 Pu
0.500 0.000 0.000 Pu
0.000 0.000 0.000 N
0.500 0.500 0.500 Y

=====

Y2Pu3N4 | Alexandria | PBE | relaxed; crystal system = monoclinic; SG = No. 12
1.0
3.403 0.000 0.837
1.517 5.801 1.169
-0.102 0.475 7.749
Pu N Y
3 4 2
direct
0.798 0.599 0.805 Pu
0.202 0.401 0.195 Pu
0.000 0.000 0.000 Pu
0.798 0.103 0.301 N
0.396 0.300 0.909 N
0.202 0.897 0.699 N
0.604 0.700 0.091 N
0.607 0.177 0.610 Y
0.393 0.823 0.390 Y

=====

Y2PuN4 | Alexandria | PBE | relaxed; crystal system = monoclinic; SG = No. 12
1.0
-3.058 1.335 -1.006
2.485 2.018 -4.875
-0.808 -6.070 0.437
N Y Pu
4 2 1
direct
0.631 0.259 0.262 N
0.882 0.155 0.764 N
0.118 0.845 0.236 N
0.369 0.741 0.738 N
0.693 0.696 0.386 Y
0.307 0.304 0.614 Y
0.000 0.000 0.000 Pu

=====

YPuN | Alexandria | PBE | relaxed; crystal system = trigonal; SG = No. 156; offset from the most stable computed form = 0 meV per atom
1.0
3.449 0.000 0.000
-1.725 2.987 0.000
0.000 0.000 6.101
N Y Pu
1 1 1
direct
0.667 0.333 0.335 N
0.000 0.000 0.105 Y
0.333 0.667 0.560 Pu

=====

Y5PuN6 | Alexandria | PBE | relaxed; crystal system = monoclinic; SG = No. 12
1.0
5.946 0.143 0.902
1.459 5.040 2.938
0.099 0.054 6.011
Pu Y N
1 5 6
direct
0.000 0.000 0.000 Pu
0.500 0.167 0.666 Y
0.000 0.666 0.667 Y
0.500 0.500 0.000 Y
0.000 0.334 0.333 Y
0.500 0.833 0.334 Y
0.754 0.407 0.675 N
0.244 0.243 0.000 N
0.754 0.082 0.325 N
0.246 0.918 0.675 N
0.246 0.593 0.325 N
0.756 0.757 0.000 N

=====

Y4PuN4 | Alexandria | PBE | relaxed; crystal system = tetragonal; SG = No. 87
1.0
-3.923 3.923 2.455
3.923 -3.923 2.455
3.923 3.923 -2.455
N Y Pu
4 4 1
direct
0.295 0.097 0.392 N
0.903 0.295 0.198 N
0.097 0.705 0.802 N
0.705 0.903 0.608 N
0.189 0.393 0.581 Y
0.607 0.189 0.796 Y
0.811 0.607 0.419 Y
0.393 0.811 0.204 Y
0.000 0.000 0.000 Pu

=====

Y3PuN4 | Alexandria | PBE | relaxed; crystal system = orthorhombic; SG = No. 65; offset from the most stable computed form = 5 meV per atom
1.0
-1.711 -2.101 -2.190
5.065 -3.068 -1.014
-2.923 -2.455 4.639
N Y Pu
4 3 1
direct
0.000 0.243 0.243 N
0.000 0.757 0.757 N
0.500 0.754 0.246 N
0.500 0.246 0.754 N
0.500 0.500 0.500 Y
0.000 0.000 0.500 Y
0.000 0.500 0.000 Y
0.500 0.000 0.000 Pu

=====

Y2PuZrN4 | Alexandria | PBE | relaxed; crystal system = monoclinic; SG = No. 10
1.0
3.417 0.000 0.000
0.000 5.911 0.107
0.000 -2.061 5.539
N Pu Zr Y
4 1 1 2
direct
0.000 0.248 0.764 N
0.000 0.752 0.236 N
0.500 0.761 0.765 N
0.500 0.239 0.235 N
0.500 0.500 0.000 Pu
0.000 0.000 0.000 Zr
0.000 0.500 0.500 Y
0.500 0.000 0.500 Y

=====

Pu2ZnN3 | Alexandria | PBE | relaxed; crystal system = monoclinic; SG = No. 12
1.0
0.134 0.779 3.615
1.537 -6.006 3.132
8.476 -5.523 2.771
N Pu Zn
6 4 2
direct
0.042 0.233 0.683 N
0.405 0.393 0.798 N
0.303 0.022 0.371 N
0.595 0.607 0.202 N
0.958 0.767 0.317 N
0.697 0.978 0.629 N
0.870 0.679 0.580 Pu
0.424 0.986 0.165 Pu
0.130 0.321 0.420 Pu
0.576 0.014 0.835 Pu
0.743 0.355 0.158 Zn
0.257 0.645 0.842 Zn

=====

PuZnN2 | Alexandria | PBE | relaxed; crystal system = trigonal; SG = No. 166
1.0
-1.309 0.322 -3.338
-3.555 -0.100 -0.557
-1.884 5.769 -0.646
N Zn Pu
2 1 1
direct
0.107 0.107 0.679 N
0.893 0.893 0.321 N
0.000 0.000 0.000 Zn
0.500 0.500 0.500 Pu

=====

Pu3ZnN | Alexandria | PBE | relaxed; crystal system = cubic; SG = No. 221
1.0
-4.672 0.852 0.609
-0.960 -2.373 -4.046
-0.418 -4.070 2.487
Zn Pu N
1 3 1
direct
0.500 0.500 0.500 Zn
0.000 0.500 0.000 Pu
0.500 0.000 0.000 Pu
0.000 0.000 0.500 Pu
0.000 0.000 0.000 N

=====

Pu4Zn2N | Alexandria | PBE | relaxed; crystal system = tetragonal; SG = No. 139
1.0
-0.426 4.320 -1.816
-4.673 -0.257 0.487
-1.998 4.955 6.162
Pu Zn N
4 2 1
direct
0.500 0.000 0.000 Pu
0.832 0.832 0.335 Pu
0.000 0.500 0.000 Pu
0.168 0.168 0.665 Pu
0.369 0.369 0.262 Zn
0.631 0.631 0.738 Zn
0.000 0.000 0.000 N

=====

The records above give, respectively, M_tot values of 0.666 0.015 0.931 0.569 0.253 0.882 1.808 0.787 1.966 1.979 2.230 3.293 1.744 0.286 2.023 0.371 0.639 0.591 0.593 1.306 1.000 3.390 3.241 μB/atom.
The records above give, respectively, E values of -156.02 -179.84 -166.99 -159.30 -179.57 -166.27 -93.65 -122.99 -29.68 -122.95 -30.99 -59.16 -100.01 -68.62 -31.62 -115.95 -85.73 -79.61 -81.86 -119.83 -34.82 -54.49 -69.42 eV/cell.
The records above give, respectively, ΔE_f (raw) values of -0.638 -0.600 -1.253 -1.578 -1.370 -1.522 -1.362 -1.543 -0.187 -0.538 -0.622 -0.276 -1.199 -1.152 -0.834 -1.612 -1.360 -1.573 -1.594 -0.834 -0.640 -0.378 -0.174 eV per atom.